A relaxed structure of CaAgGe2Au5. Source: the Alexandria database, functional GGA-PBE.

Cell and atoms, written as CIF:
```
data_CaAgGe2Au5
_chemical_formula_sum 'Ca1 Ag1 Ge2 Au5'
_cell_length_a 4.836
_cell_length_b 4.836
_cell_length_c 7.956
_cell_angle_alpha 90.00
_cell_angle_beta 90.00
_cell_angle_gamma 90.00
_space_group_name_H-M_alt 'P 4/m m m'
_space_group_IT_number 123
_space_group_name_Hall '-P 4 2'
loop_
_atom_site_label
_atom_site_fract_x
_atom_site_fract_y
_atom_site_fract_z
Ca1 0.000 0.000 0.000
Ag1 0.000 0.000 0.500
Ge1 0.500 0.500 0.344
Au1 0.000 0.500 0.244
Au2 0.500 0.500 0.000
```

Calculated values
**Energy of formation from the pure elements**: -139 kJ/mol of formula units
**N(E_F)**: 3.16 states/eV per cell

---

A relaxed structure of Ca3Ag2Ge2Au4. Source: the Alexandria database, functional GGA-PBE.

Cell and atoms, written as CIF:
```
data_Ca3Ag2Ge2Au4
_chemical_formula_sum 'Ca6 Ag4 Ge4 Au8'
_cell_length_a 4.539
_cell_length_b 4.539
_cell_length_c 24.507
_cell_angle_alpha 90.00
_cell_angle_beta 90.00
_cell_angle_gamma 90.00
_space_group_name_H-M_alt 'I 4/m m m'
_space_group_IT_number 139
_space_group_name_Hall '-I 4 2'
loop_
_atom_site_label
_atom_site_fract_x
_atom_site_fract_y
_atom_site_fract_z
Ca1 0.000 0.000 0.000
Ca2 0.000 0.000 0.196
Ag1 0.000 0.000 0.323
Ge1 0.000 0.000 0.450
Au1 0.000 0.500 0.103
```

Calculated values
**Energy of formation from the pure elements**: -420 kJ/mol of formula units
**N(E_F)**: 8.23 states/eV per cell

---

A relaxed structure of CaAg2GeAu4. Source: the Alexandria database, functional GGA-PBE.

Cell and atoms, written as CIF:
```
data_CaAg2GeAu4
_chemical_formula_sum 'Ca3 Ag6 Ge3 Au12'
_cell_length_a 4.8197
_cell_length_b 4.8197
_cell_length_c 23.2325
_cell_angle_alpha 90.00
_cell_angle_beta 90.00
_cell_angle_gamma 120.00
_space_group_name_H-M_alt 'R -3 m'
_space_group_IT_number 166
_space_group_name_Hall '-R 3 2"'
loop_
_atom_site_label
_atom_site_fract_x
_atom_site_fract_y
_atom_site_fract_z
Ca1 0.0000 0.0000 0.0000
Ag1 0.0000 0.0000 0.2572
Ge1 0.0000 0.0000 0.5000
Au1 0.0000 0.0000 0.1319
Au2 0.0000 0.0000 0.3851
```

Calculated values
**Energy of formation from the pure elements**: -170 kJ/mol of formula units
**N(E_F)**: 7.87 states/eV per cell

---

A relaxed structure of Ca2AgGe3Au4. Source: the Alexandria database, functional GGA-PBE.

Cell and atoms, written as CIF:
```
data_Ca2AgGe3Au4
_chemical_formula_sum 'Ca2 Ag1 Ge3 Au4'
_cell_length_a 4.400
_cell_length_b 4.400
_cell_length_c 11.124
_cell_angle_alpha 90.00
_cell_angle_beta 90.00
_cell_angle_gamma 90.00
_space_group_name_H-M_alt 'P -4 m 2'
_space_group_IT_number 115
_space_group_name_Hall 'P -4 -2'
loop_
_atom_site_label
_atom_site_fract_x
_atom_site_fract_y
_atom_site_fract_z
Ca1 0.000 0.500 0.243
Ag1 0.000 0.000 0.500
Ge1 0.000 0.500 0.870
Ge2 0.500 0.500 0.500
Au1 0.000 0.000 0.000
Au2 0.000 0.500 0.647
Au3 0.500 0.500 0.000
```

Calculated values
**Energy of formation from the pure elements**: -397 kJ/mol of formula units
**N(E_F)**: 4.19 states/eV per cell

---

A relaxed structure of Ca3AgGe2Au6. Source: the Alexandria database, functional GGA-PBE.

Cell and atoms, written as CIF:
```
data_Ca3AgGe2Au6
_chemical_formula_sum 'Ca3 Ag1 Ge2 Au6'
_cell_length_a 5.7740
_cell_length_b 5.7740
_cell_length_c 9.6001
_cell_angle_alpha 90.00
_cell_angle_beta 90.00
_cell_angle_gamma 120.00
_space_group_name_H-M_alt 'P -3 m 1'
_space_group_IT_number 164
_space_group_name_Hall '-P 3 2"'
loop_
_atom_site_label
_atom_site_fract_x
_atom_site_fract_y
_atom_site_fract_z
Ca1 0.0000 0.0000 0.0000
Ca2 0.3333 0.6667 0.6025
Ag1 0.0000 0.0000 0.5000
Ge1 0.3333 0.6667 0.0455
Au1 0.1681 0.3362 0.2687
```

Calculated values
**Energy of formation from the pure elements**: -451 kJ/mol of formula units
**N(E_F)**: 6.32 states/eV per cell

---

A relaxed structure of Ca2AgGeAu. Source: the Alexandria database, functional GGA-PBE.

Cell and atoms, written as CIF:
```
data_Ca2AgGeAu
_chemical_formula_sum 'Ca2 Ag1 Ge1 Au1'
_cell_length_a 5.524
_cell_length_b 5.524
_cell_length_c 5.019
_cell_angle_alpha 90.00
_cell_angle_beta 90.00
_cell_angle_gamma 90.00
_space_group_name_H-M_alt 'P 4/m m m'
_space_group_IT_number 123
_space_group_name_Hall '-P 4 2'
loop_
_atom_site_label
_atom_site_fract_x
_atom_site_fract_y
_atom_site_fract_z
Ca1 0.000 0.500 0.000
Ag1 0.000 0.000 0.000
Ge1 0.500 0.500 0.500
Au1 0.000 0.000 0.500
```

Calculated values
**Energy of formation from the pure elements**: 60 kJ/mol of formula units
**N(E_F)**: 3.57 states/eV per cell

---

A relaxed structure of Ca2AgGe3Au12. Source: the Alexandria database, functional GGA-PBE.

Cell and atoms, written as CIF:
```
data_Ca2AgGe3Au12
_chemical_formula_sum 'Ca6 Ag3 Ge9 Au36'
_cell_length_a 9.7480
_cell_length_b 9.7480
_cell_length_c 13.5078
_cell_angle_alpha 90.00
_cell_angle_beta 90.00
_cell_angle_gamma 120.00
_space_group_name_H-M_alt 'R -3 m'
_space_group_IT_number 166
_space_group_name_Hall '-R 3 2"'
loop_
_atom_site_label
_atom_site_fract_x
_atom_site_fract_y
_atom_site_fract_z
Ca1 0.0000 0.0000 0.2104
Ag1 0.0000 0.0000 0.5000
Ge1 0.0000 0.5000 0.0000
Au1 0.0016 0.5008 0.1939
Au2 0.0222 0.5111 0.6028
```

Calculated values
**Energy of formation from the pure elements**: -224 kJ/mol of formula units
**N(E_F)**: 24.74 states/eV per cell

---

A relaxed structure of CaAg2HAu. Source: the Alexandria database, functional GGA-PBE.

Cell and atoms, written as CIF:
```
data_CaAg2HAu
_chemical_formula_sum 'Ca1 Ag2 H1 Au1'
_cell_length_a 4.263
_cell_length_b 4.263
_cell_length_c 4.710
_cell_angle_alpha 90.00
_cell_angle_beta 90.00
_cell_angle_gamma 90.00
_space_group_name_H-M_alt 'P 4/m m m'
_space_group_IT_number 123
_space_group_name_Hall '-P 4 2'
loop_
_atom_site_label
_atom_site_fract_x
_atom_site_fract_y
_atom_site_fract_z
Ca1 0.000 0.000 0.000
Ag1 0.000 0.500 0.500
H1 0.000 0.000 0.500
Au1 0.500 0.500 0.000
```

Calculated values
**E**: -3.03 eV/atom
**N(E_F)**: 2.27 states/eV per cell

---

Q: Look up the N(E_F) of the eighth one.
A: 2.27 states/eV per cell

---

Q: Which of these has the lowest N(E_F)?
A: CaAg2HAu

---

What did the fifth record say?
A relaxed structure of Ca3AgGe2Au6. Source: the Alexandria database, functional GGA-PBE.

Cell and atoms, written as CIF:
```
data_Ca3AgGe2Au6
_chemical_formula_sum 'Ca3 Ag1 Ge2 Au6'
_cell_length_a 5.7740
_cell_length_b 5.7740
_cell_length_c 9.6001
_cell_angle_alpha 90.00
_cell_angle_beta 90.00
_cell_angle_gamma 120.00
_space_group_name_H-M_alt 'P -3 m 1'
_space_group_IT_number 164
_space_group_name_Hall '-P 3 2"'
loop_
_atom_site_label
_atom_site_fract_x
_atom_site_fract_y
_atom_site_fract_z
Ca1 0.0000 0.0000 0.0000
Ca2 0.3333 0.6667 0.6025
Ag1 0.0000 0.0000 0.5000
Ge1 0.3333 0.6667 0.0455
Au1 0.1681 0.3362 0.2687
```

Calculated values
**Energy of formation from the pure elements**: -451 kJ/mol of formula units
**N(E_F)**: 6.32 states/eV per cell

---

Q: N(E_F) of number 5 (Ca3AgGe2Au6)?
A: 6.32 states/eV per cell